[1]
First-principles (GGA-PBE) data for a geometry-optimized NbSb structure, as listed in the Alexandria database.

The total magnetization is 0.000 μB per formula unit. The energy relative to the elements, uncorrected is 0.457 eV per atom. For the calculated volume, the calculation gives 621.1 Å³/cell.

Geometry as POSCAR:
```
NbSb
1.0
-4.298 5.239 -5.184
-6.960 -4.859 0.861
-2.424 4.663 6.722
Nb Sb
8 8
Direct
0.617 0.617 0.617
0.617 0.383 0.383
0.883 0.883 0.117
0.883 0.117 0.883
0.383 0.617 0.383
0.383 0.383 0.617
0.117 0.883 0.883
0.117 0.117 0.117
0.693 0.307 0.693
0.693 0.693 0.307
0.807 0.807 0.807
0.307 0.693 0.693
0.193 0.193 0.807
0.193 0.807 0.193
0.307 0.307 0.307
0.807 0.193 0.193
```

***

[2]
First-principles (GGA-PBE) data for a geometry-optimized Na2VN2 structure, as listed in the Alexandria database.

The total magnetization is 1.101 μB per formula unit. The energy relative to the elements, uncorrected is 0.132 eV per atom. As for the polymorph energy (0 for the lowest one): 659.7 meV/atom. For the calculated volume, the calculation gives 126.7 Å³/cell.

Geometry as POSCAR:
```
Na2VN2
1.0
5.557 0.000 0.000
0.000 5.557 0.000
0.000 0.000 4.104
N Na V
4 4 2
Direct
0.210 0.290 0.000
0.290 0.790 0.000
0.790 0.710 0.000
0.710 0.210 0.000
0.646 0.854 0.500
0.854 0.354 0.500
0.146 0.646 0.500
0.354 0.146 0.500
0.000 0.000 0.000
0.500 0.500 0.000
```

***

[3]
First-principles (GGA-PBE) data for a geometry-optimized LiNd4Zn5 structure, as listed in the Alexandria database.

The total magnetization is 0.000 μB per formula unit. The value obtained for the energy of formation from the pure elements is -0.2506 eV per atom. For the calculated volume, the calculation gives 234.7 Å³/cell.

Geometry as POSCAR:
```
LiNd4Zn5
1.0
-0.287 2.240 2.848
-3.602 -0.487 0.020
1.929 -13.789 11.037
Zn Nd Li
5 4 1
Direct
0.500 0.500 0.078
0.500 0.500 0.291
0.500 0.500 0.500
0.500 0.500 0.922
0.500 0.500 0.709
0.000 0.000 0.814
0.000 0.000 0.394
0.000 0.000 0.606
0.000 0.000 0.186
0.000 0.000 0.000
```

***

calculated volume of number 2 (Na2VN2)? 126.7 Å³/cell

***

What is the formula in the second record? Na2VN2